No. 1
4
Lattice="1.6307 -2.3202 0.0000 1.6307 2.3202 0.0000 0.0000 0.0000 9.9926" Properties=species:S:1:pos:R:3 comment="Li2TaHg | Alexandria | PBE-GGA | relaxed" space_group=Cmm2 rho_g_cm3=8.68 dos_ef_per_ev_cell=2.9 dft_energy_ev_per_atom=-3.76 formation_enthalpy_0k_ev_per_atom=0.238 pbc="T T T"
Li 0.0000 0.0000 0.0000
Li 1.6307 0.0000 2.6067
Ta 1.6307 0.0000 7.5114
Hg 0.0000 0.0000 4.8976

***

No. 2
4
Lattice="1.3637 0.7873 8.7850 -1.3637 0.7873 8.7850 0.0000 -1.5747 8.7850" Properties=species:S:1:pos:R:3 comment="Ni2MoAu | Alexandria | PBE-GGA | relaxed" space_group=R-3m rho_g_cm3=12.04 dos_ef_per_ev_cell=4.5 dft_energy_ev_per_atom=-6.28 formation_enthalpy_0k_ev_per_atom=0.136 pbc="T T T"
Ni 0.0000 0.0000 6.4900
Ni 0.0000 0.0000 19.8650
Mo 0.0000 0.0000 13.1775
Au 0.0000 0.0000 0.0000